No. 1
A plane-wave DFT calculation with GGA-PBE was carried out for an optimized crystal structure of Li14MgPd.

```
Li14MgPd
1.0
-1.734 5.807 -0.444
-2.190 -3.824 4.184
7.039 2.562 6.026
Li Mg Pd
14 1 1
Cartesian
2.453 -0.394 4.971 Li
-2.946 1.199 2.931 Li
-1.006 3.327 3.783 Li
-0.084 0.590 4.052 Li
0.887 2.370 1.979 Li
3.095 1.747 6.774 Li
-2.088 -1.667 3.147 Li
-0.091 5.197 1.602 Li
-1.004 0.218 1.081 Li
2.340 4.545 6.648 Li
3.547 6.521 4.717 Li
0.458 0.614 6.873 Li
4.234 3.588 4.843 Li
-1.863 3.064 0.874 Li
1.341 -2.311 7.085 Mg
1.574 2.623 4.714 Pd
```

Output
Formation enthalpy at 0 K   -0.07 eV/atom
Space-group type   Amm2, No. 38

***

No. 2
A plane-wave DFT calculation with GGA-PBE was carried out for an optimized crystal structure of TcH2I4.

```
TcH2I4
1.0
4.113 0.000 0.000
0.000 5.710 -3.853
0.000 -1.945 9.514
I Tc H
4 1 2
Cartesian
0.000 0.770 5.103 I
0.000 2.178 1.111 I
2.056 4.003 4.269 I
2.056 4.656 -1.909 I
4.113 5.302 -3.577 Tc
2.056 2.815 3.036 H
2.056 0.136 3.175 H
```

Output
Space-group type   P2/m, No. 10
Raw total energy   -21.7 eV/cell

***

No. 3
A plane-wave DFT calculation with GGA-PBE was carried out for an optimized crystal structure of MgPd3.

```
MgPd3
1.0
-8.001 3.655 -1.697
-7.702 2.077 -4.077
-8.754 0.884 -1.687
Mg Pd
1 3
Cartesian
0.000 0.000 0.000 Mg
-12.229 3.308 -3.731 Pd
-18.250 4.937 -5.568 Pd
-6.207 1.679 -1.894 Pd
```

Output
Formation enthalpy at 0 K   -0.30 eV/atom
Space-group type   R-3m, No. 166

***

No. 4
A plane-wave DFT calculation with GGA-PBE was carried out for an optimized crystal structure of K6TeI3Br2.

```
K6TeI3Br2
1.0
-1.761 7.599 -3.958
3.699 -6.503 -4.532
-7.725 -3.026 0.855
K Br Te I
6 2 1 3
Cartesian
-2.280 2.037 -1.854 K
-5.419 0.973 -5.579 K
-3.506 -3.966 -5.780 K
-5.410 -2.027 -1.665 K
-0.377 0.097 -5.969 K
-0.368 -2.903 -2.055 K
1.884 -1.816 -4.341 Br
0.054 2.912 -4.148 Br
0.000 0.000 0.000 Te
-4.753 3.837 -3.621 I
-2.893 -0.965 -3.817 I
-1.034 -5.767 -4.012 I
```

Output
Energy relative to the elements, uncorrected   -1.38 eV/atom
Space-group type   C2/m, No. 12

***

No. 5
A plane-wave DFT calculation with GGA-PBE was carried out for an optimized crystal structure of TeIrBr2.

```
TeIrBr2
1.0
-2.038 -1.604 6.897
4.121 -3.716 4.848
-0.936 5.774 -4.480
Br Te Ir
2 1 1
Cartesian
1.948 -4.975 10.983 Br
-1.167 1.268 3.013 Br
2.408 -1.054 4.782 Te
1.082 -2.764 6.102 Ir
```

Output
Energy relative to the elements, uncorrected   0.14 eV/atom
Space-group type   Imm2, No. 44

***

No. 6
A plane-wave DFT calculation with GGA-PBE was carried out for an optimized crystal structure of Cs2KSnSe4.

```
Cs2KSnSe4
1.0
7.292 0.000 0.000
3.646 7.800 0.000
3.646 0.000 11.929
Cs Se Sn K
4 8 2 2
Cartesian
7.292 0.000 4.453 Cs
9.116 3.900 1.512 Cs
3.646 0.000 7.476 Cs
9.116 3.900 10.417 Cs
11.384 5.464 7.496 Se
4.092 2.335 4.434 Se
6.847 5.464 4.434 Se
6.847 2.335 7.496 Se
5.915 1.565 10.398 Se
5.915 6.235 1.531 Se
12.316 6.235 10.398 Se
5.024 1.565 1.531 Se
5.469 3.900 5.965 Sn
3.646 0.000 0.000 Sn
0.000 0.000 0.000 K
9.116 3.900 5.965 K
```

Output
Energy relative to the elements, uncorrected   -0.76 eV/atom
Space-group type   Fddd, No. 70

***

No. 7
A plane-wave DFT calculation with GGA-PBE was carried out for an optimized crystal structure of KLaCr2.

```
KLaCr2
1.0
-2.603 1.244 4.638
-3.204 -4.400 -0.618
2.581 -2.165 2.030
La Cr K
1 2 1
Cartesian
-0.311 -3.283 0.706 La
-2.904 -1.578 2.010 Cr
0.000 0.000 0.000 Cr
-0.011 -0.461 3.334 K
```

Output
Formation enthalpy at 0 K   0.99 eV/atom
Space-group type   Pmmm, No. 47

***

No. 8
A plane-wave DFT calculation with GGA-PBE was carried out for an optimized crystal structure of TcP2AuCl.

```
TcP2AuCl
1.0
4.558 0.000 0.000
0.000 4.558 0.000
0.000 0.000 4.980
Au P Cl Tc
1 2 1 1
Cartesian
2.279 2.279 2.490 Au
0.000 2.279 0.000 P
2.279 0.000 0.000 P
0.000 0.000 2.490 Cl
0.000 0.000 0.000 Tc
```

Output
Energy relative to the elements, uncorrected   0.50 eV/atom
Space-group type   P4/mmm, No. 123

***

No. 9
A plane-wave DFT calculation with GGA-PBE was carried out for an optimized crystal structure of RbZnCr2I.

```
RbZnCr2I
1.0
5.545 0.000 0.000
0.000 6.894 0.000
0.000 0.000 5.545
Rb Cr Zn I
1 2 1 1
Cartesian
0.000 3.447 0.000 Rb
2.772 0.000 0.000 Cr
0.000 0.000 2.772 Cr
2.772 3.447 2.772 Zn
0.000 0.000 0.000 I
```

Output
Energy relative to the elements, uncorrected   0.97 eV/atom
Space-group type   P4/mmm, No. 123

***

No. 10
A plane-wave DFT calculation with GGA-PBE was carried out for an optimized crystal structure of BaHo2Tl.

```
BaHo2Tl
1.0
-2.231 -1.644 2.434
1.220 -0.765 3.396
-4.143 9.979 5.739
Ho Ba Tl
2 1 1
Cartesian
-2.160 0.846 6.976 Ho
-2.994 6.724 4.593 Ho
0.000 0.000 0.000 Ba
-2.577 3.785 5.784 Tl
```

Output
Formation enthalpy at 0 K   0.14 eV/atom
Space-group type   R-3m, No. 166

***

No. 11
A plane-wave DFT calculation with GGA-PBE was carried out for an optimized crystal structure of PmReAg.

```
PmReAg
1.0
-0.716 0.033 3.032
2.807 -3.016 0.700
5.126 9.812 -3.283
Pm Re Ag
2 2 2
Cartesian
5.921 4.297 0.979 Pm
1.297 2.532 -0.530 Pm
3.757 2.372 1.387 Re
3.461 4.457 -0.938 Re
6.226 7.114 -0.590 Ag
0.992 -0.285 1.039 Ag
```

Output
Formation enthalpy at 0 K   0.09 eV/atom
Space-group type   P2_1/m, No. 11

***

No. 12
A plane-wave DFT calculation with GGA-PBE was carried out for an optimized crystal structure of PrDyW2N6.

```
PrDyW2N6
1.0
6.478 0.069 0.072
2.152 7.191 0.395
2.152 0.128 7.201
N W Pr Dy
12 4 2 2
Cartesian
2.537 4.487 1.157 N
6.584 4.895 4.900 N
5.775 1.025 4.563 N
5.006 6.363 3.104 N
3.346 4.681 5.037 N
8.048 7.277 2.105 N
8.245 2.901 6.510 N
7.436 2.707 2.630 N
2.734 0.111 5.562 N
4.809 1.800 7.314 N
4.197 2.494 2.767 N
5.972 5.588 0.353 N
5.857 1.567 2.848 W
2.618 2.753 1.636 W
8.163 4.635 6.032 W
4.924 5.821 4.820 W
3.771 6.530 1.066 Pr
7.010 0.858 6.601 Pr
7.010 5.197 2.420 Dy
3.771 2.191 5.247 Dy
```

Output
Energy relative to the elements, uncorrected   -0.94 eV/atom
Space-group type   C2/c, No. 15

***

No. 13
A plane-wave DFT calculation with GGA-PBE was carried out for an optimized crystal structure of Er5InPt4.

```
Er5InPt4
1.0
3.502 0.000 0.000
0.000 3.502 0.000
0.000 0.000 17.834
In Er Pt
1 5 4
Cartesian
0.000 0.000 0.000 In
1.751 1.751 5.501 Er
1.751 1.751 12.333 Er
1.751 1.751 15.707 Er
1.751 1.751 8.917 Er
1.751 1.751 2.127 Er
0.000 0.000 10.637 Pt
0.000 0.000 7.198 Pt
0.000 0.000 14.107 Pt
0.000 0.000 3.727 Pt
```

Output
Formation enthalpy at 0 K   -1.10 eV/atom
Space-group type   P4/mmm, No. 123

***

No. 14
A plane-wave DFT calculation with GGA-PBE was carried out for an optimized crystal structure of HgTeRu.

```
HgTeRu
1.0
-0.853 3.317 1.071
-0.143 -2.729 2.326
18.763 3.231 4.942
Ru Hg Te
3 3 3
Cartesian
10.934 1.234 4.888 Ru
4.443 2.173 2.822 Ru
17.568 3.025 4.627 Ru
15.057 4.001 5.617 Hg
2.785 -0.169 2.741 Hg
9.419 1.622 2.481 Hg
6.469 1.114 1.704 Te
12.107 3.493 4.840 Te
-0.165 -0.677 1.964 Te
```

Output
Energy relative to the elements, uncorrected   0.08 eV/atom
Space-group type   R3m, No. 160

***

No. 15
A plane-wave DFT calculation with GGA-PBE was carried out for an optimized crystal structure of Mo2HIrOs.

```
Mo2HIrOs
1.0
3.991 0.000 0.000
0.000 3.991 0.000
0.000 0.000 3.906
Ir Os Mo H
1 1 2 1
Cartesian
0.000 0.000 1.953 Ir
1.995 1.995 1.953 Os
1.995 0.000 0.000 Mo
0.000 1.995 0.000 Mo
0.000 0.000 0.000 H
```

Output
Space-group type   P4/mmm, No. 123
Raw total energy   -45.3 eV/cell

***

No. 16
A plane-wave DFT calculation with GGA-PBE was carried out for an optimized crystal structure of TiBe9V2.

```
TiBe9V2
1.0
4.373 0.000 0.000
-2.187 3.787 0.000
0.000 0.000 13.762
V Ti Be
4 2 18
Cartesian
2.187 1.262 0.472 V
0.000 2.525 7.353 V
2.187 1.262 6.409 V
0.000 2.525 13.290 V
2.187 1.262 3.441 Ti
0.000 2.525 10.322 Ti
-1.077 3.147 1.705 Be
1.109 0.641 8.587 Be
0.000 2.525 3.441 Be
0.000 1.281 1.705 Be
0.000 0.000 6.881 Be
2.187 2.506 12.057 Be
3.264 0.641 8.587 Be
-1.077 3.147 5.176 Be
1.109 0.641 12.057 Be
0.000 1.281 5.176 Be
2.187 1.262 10.322 Be
2.187 2.506 8.587 Be
0.000 0.000 0.000 Be
3.264 0.641 12.057 Be
1.077 3.147 1.705 Be
1.077 3.147 5.176 Be
0.000 0.000 3.441 Be
0.000 0.000 10.322 Be
```

Output
Formation enthalpy at 0 K   -0.23 eV/atom
Space-group type   P6_3/mmc, No. 194

***

No. 17
A plane-wave DFT calculation with GGA-PBE was carried out for an optimized crystal structure of Zn2HgPd2.

```
Zn2HgPd2
1.0
4.007 0.000 0.000
0.000 4.007 0.000
2.004 2.004 5.574
Hg Pd Zn
1 2 2
Cartesian
0.000 0.000 0.000 Hg
2.004 4.007 2.787 Pd
4.007 2.004 2.787 Pd
2.004 2.004 1.219 Zn
4.007 4.007 4.355 Zn
```

Output
Formation enthalpy at 0 K   -0.13 eV/atom
Space-group type   I4/mmm, No. 139

***

No. 18
A plane-wave DFT calculation with GGA-PBE was carried out for an optimized crystal structure of LaSnPt.

```
LaSnPt
1.0
4.764 0.000 0.000
2.382 5.575 -0.196
2.382 -0.097 5.578
Pt Sn La
2 2 2
Cartesian
4.764 4.122 4.305 Pt
4.764 1.102 1.337 Pt
2.382 0.049 2.175 Sn
7.147 3.303 5.372 Sn
2.382 3.385 2.034 La
4.764 0.955 4.507 La
```

Output
Formation enthalpy at 0 K   -1.05 eV/atom
Space-group type   Imm2, No. 44

***

No. 19
A plane-wave DFT calculation with GGA-PBE was carried out for an optimized crystal structure of SiSBr.

```
SiSBr
1.0
6.185 0.954 3.837
3.453 4.395 5.123
5.722 1.678 13.293
Si S Br
2 2 2
Cartesian
5.604 3.611 6.540 Si
7.180 1.372 6.927 Si
7.712 3.458 6.951 S
5.072 1.524 6.518 S
7.439 1.911 12.771 Br
11.066 4.748 13.989 Br
```

Output
Energy relative to the elements, uncorrected   -0.66 eV/atom
Space-group type   P-1, No. 2

***

No. 20
A plane-wave DFT calculation with GGA-PBE was carried out for an optimized crystal structure of TlSn2Br4.

```
TlSn2Br4
1.0
7.355 -1.171 -0.158
-1.526 9.399 0.156
-2.769 -4.246 7.688
Br Sn Tl
8 4 2
Cartesian
4.101 -3.473 4.729 Br
0.243 -2.862 6.627 Br
1.109 4.090 1.450 Br
5.791 0.173 2.546 Br
4.790 4.081 1.386 Br
-0.014 2.650 6.739 Br
1.676 -1.435 2.601 Br
3.393 2.129 4.796 Br
3.295 1.834 1.997 Sn
1.603 -0.587 5.395 Sn
-1.376 0.413 5.470 Sn
2.618 6.321 2.100 Sn
3.057 3.984 7.356 Tl
-0.674 4.617 4.221 Tl
```

Output
Energy relative to the elements, uncorrected   -0.63 eV/atom
Space-group type   P1, No. 1